Entry 1:
AgHgCl2 PBE-GGA optimized geometry; symmetry = No. 38; energy = -2.051 eV per atom; ΔE_f (raw) = -340 meV per atom; total magnetic moment = 0.00 Bohr magnetons per cell; distance to the lowest polymorph of the same formula = 0.0000 eV/atom; N(E_F) = 0.9 states/eV per cell; theoretical density = 6.3 g/cm3
1.0
3.666 0.000 0.000
0.000 5.450 -0.255
0.000 2.401 4.909
Ag Cl Hg
1 2 1
Direct
0.500 0.746 0.745
0.500 0.299 0.300
0.000 0.942 0.942
0.000 0.514 0.514



Entry 2:
AgHg2Cl PBE-GGA optimized geometry; symmetry = No. 123; energy = -1.423 eV per atom; ΔE_f (raw) = -98 meV per atom; total magnetic moment = 0.00 Bohr magnetons per cell; distance to the lowest polymorph of the same formula = 0.1176 eV/atom; N(E_F) = 0.2 states/eV per cell; theoretical density = 9.0 g/cm3
1.0
-2.254 -3.387 0.375
1.700 -0.727 3.649
-4.353 3.192 2.664
Hg Cl Ag
2 1 1
Direct
0.500 0.500 0.000
0.000 0.000 0.000
0.000 0.500 0.500
0.500 0.000 0.500



Entry 3:
AgHg2Cl PBE-GGA optimized geometry; symmetry = No. 225; energy = -1.226 eV per atom; ΔE_f (raw) = 100 meV per atom; total magnetic moment = 0.00 Bohr magnetons per cell; distance to the lowest polymorph of the same formula = 0.3153 eV/atom; N(E_F) = 0.8 states/eV per cell; theoretical density = 9.1 g/cm3
1.0
2.440 -4.437 1.187
-1.777 -2.991 3.867
-2.246 -4.568 -1.067
Hg Cl Ag
2 1 1
Direct
0.750 0.750 0.750
0.250 0.250 0.250
0.000 0.000 0.000
0.500 0.500 0.500



Entry 4:
HoAgHgCl6 PBE-GGA optimized geometry; symmetry = No. 163; energy = -3.364 eV per atom; ΔE_f (raw) = -1274 meV per atom; total magnetic moment = 0.00 Bohr magnetons per cell; N(E_F) = 0.0 states/eV per cell; theoretical density = 4.6 g/cm3
1.0
6.779 0.000 0.000
-3.390 5.871 0.000
0.000 0.000 12.319
Cl Ag Hg Ho
12 2 2 2
Direct
0.659 0.651 0.127
0.651 0.991 0.873
0.341 0.349 0.873
0.659 0.009 0.373
0.349 0.341 0.373
0.009 0.349 0.627
0.009 0.659 0.873
0.991 0.651 0.373
0.349 0.009 0.127
0.341 0.991 0.627
0.651 0.659 0.627
0.991 0.341 0.127
0.000 0.000 0.500
0.000 0.000 0.000
0.667 0.333 0.750
0.333 0.667 0.250
0.667 0.333 0.250
0.333 0.667 0.750



Entry 5:
InAgHgCl4 PBE-GGA optimized geometry; symmetry = No. 12; energy = -2.633 eV per atom; ΔE_f (raw) = -736 meV per atom; total magnetic moment = 0.00 Bohr magnetons per cell; N(E_F) = 0.0 states/eV per cell; theoretical density = 4.1 g/cm3
1.0
-5.284 2.178 4.608
-6.684 -2.844 -1.062
-5.426 -7.667 8.131
Cl Ag In Hg
8 2 2 2
Direct
0.531 0.531 0.139
0.949 0.428 0.266
0.469 0.469 0.861
0.806 0.806 0.458
0.572 0.051 0.734
0.051 0.572 0.734
0.428 0.949 0.266
0.194 0.194 0.542
0.140 0.140 0.875
0.860 0.860 0.125
0.286 0.286 0.307
0.714 0.714 0.693
0.079 0.079 0.135
0.921 0.921 0.865



Entry 6:
InAgHg2Cl PBE-GGA optimized geometry; symmetry = No. 123; energy = -1.406 eV per atom; ΔE_f (raw) = 202 meV per atom; total magnetic moment = 0.00 Bohr magnetons per cell; distance to the lowest polymorph of the same formula = 0.0683 eV/atom; N(E_F) = 4.0 states/eV per cell; theoretical density = 5.9 g/cm3
1.0
-3.449 2.971 -4.327
-0.677 -4.040 -2.234
-5.170 -1.024 3.417
Hg In Cl Ag
2 1 1 1
Direct
0.000 0.000 0.500
0.500 0.000 0.000
0.500 0.500 0.500
0.000 0.000 0.000
0.000 0.500 0.000



Entry 7:
InAgHg2Cl PBE-GGA optimized geometry; symmetry = No. 123; energy = -1.474 eV per atom; ΔE_f (raw) = 134 meV per atom; total magnetic moment = 0.00 Bohr magnetons per cell; distance to the lowest polymorph of the same formula = 0.0000 eV/atom; N(E_F) = 2.6 states/eV per cell; theoretical density = 6.4 g/cm3
1.0
-1.270 4.499 -3.216
-2.426 -3.193 -3.510
-4.890 0.627 2.809
Hg Ag In Cl
2 1 1 1
Direct
0.000 0.000 0.500
0.500 0.000 0.000
0.000 0.500 0.000
0.000 0.000 0.000
0.500 0.500 0.500



Entry 8:
K2AgHgCl6 PBE-GGA optimized geometry; symmetry = No. 14; energy = -2.721 eV per atom; ΔE_f (raw) = -1078 meV per atom; total magnetic moment = 1.87 Bohr magnetons per cell; N(E_F) = 4.8 states/eV per cell; theoretical density = 3.4 g/cm3
1.0
-4.870 4.964 -3.049
-5.680 -4.415 1.883
-1.001 5.119 8.984
Cl K Hg Ag
12 4 2 2
Direct
0.821 0.760 0.548
0.321 0.740 0.048
0.600 0.042 0.272
0.400 0.958 0.728
0.179 0.240 0.452
0.679 0.260 0.952
0.100 0.458 0.772
0.312 0.739 0.439
0.812 0.761 0.939
0.688 0.261 0.561
0.900 0.542 0.228
0.188 0.239 0.061
0.489 0.452 0.247
0.989 0.048 0.747
0.011 0.952 0.253
0.511 0.548 0.753
0.500 0.000 0.000
0.000 0.500 0.500
0.000 0.500 0.000
0.500 0.000 0.500



Entry 9:
K2Ag2HgCl6 PBE-GGA optimized geometry; symmetry = No. 12; energy = -2.781 eV per atom; ΔE_f (raw) = -1028 meV per atom; total magnetic moment = 0.00 Bohr magnetons per cell; N(E_F) = 0.0 states/eV per cell; theoretical density = 3.5 g/cm3
1.0
7.864 -0.334 0.315
-4.177 6.672 0.315
-1.135 -1.951 6.359
Ag K Cl Hg
2 2 6 1
Direct
0.806 0.194 0.000
0.194 0.806 0.000
0.664 0.336 0.500
0.336 0.664 0.500
0.218 0.218 0.290
0.379 0.043 0.769
0.043 0.379 0.769
0.782 0.782 0.710
0.621 0.957 0.231
0.957 0.621 0.231
0.000 0.000 0.500



Entry 10:
K2AgHgCl5 PBE-GGA optimized geometry; symmetry = No. 36; energy = -2.790 eV per atom; ΔE_f (raw) = -1170 meV per atom; total magnetic moment = 0.00 Bohr magnetons per cell; theoretical density = 3.7 g/cm3
1.0
4.221 0.000 0.000
-2.110 8.998 0.000
0.000 0.000 13.486
K Cl Ag Hg
4 10 2 2
Direct
0.866 0.732 0.805
0.900 0.801 0.177
0.100 0.199 0.677
0.134 0.268 0.305
0.699 0.397 0.890
0.275 0.549 0.662
0.301 0.603 0.390
0.506 0.012 0.273
0.637 0.275 0.501
0.725 0.451 0.162
0.070 0.141 0.051
0.930 0.859 0.551
0.494 0.988 0.773
0.363 0.725 0.001
0.543 0.086 0.945
0.457 0.914 0.445
0.781 0.562 0.523
0.219 0.438 0.023



Entry 11:
KAgHgCl5 PBE-GGA optimized geometry; symmetry = No. 15; energy = -2.529 eV per atom; ΔE_f (raw) = -843 meV per atom; total magnetic moment = 0.00 Bohr magnetons per cell; N(E_F) = 0.3 states/eV per cell; theoretical density = 3.5 g/cm3
1.0
-6.794 -0.346 -3.368
3.070 -6.943 -0.003
-2.177 1.622 9.559
Cl Hg Ag K
10 2 2 2
Direct
0.360 0.876 0.581
0.340 0.243 0.080
0.757 0.660 0.420
0.124 0.640 0.919
0.243 0.340 0.580
0.660 0.757 0.920
0.640 0.124 0.419
0.876 0.360 0.081
0.033 0.967 0.250
0.967 0.033 0.750
0.712 0.288 0.250
0.288 0.712 0.750
0.000 0.000 0.000
0.000 0.000 0.500
0.339 0.661 0.250
0.661 0.339 0.750



Entry 12:
KAgHg2Cl8 PBE-GGA optimized geometry; symmetry = No. 2; energy = -2.313 eV per atom; ΔE_f (raw) = -703 meV per atom; total magnetic moment = 0.00 Bohr magnetons per cell; theoretical density = 3.4 g/cm3
1.0
-4.422 5.641 -2.115
-4.739 -1.407 4.395
1.527 5.305 6.579
Cl K Ag Hg
8 1 1 2
Direct
0.626 0.739 0.005
0.900 0.245 0.777
0.852 0.200 0.173
0.355 0.287 0.472
0.374 0.261 0.995
0.148 0.800 0.827
0.645 0.713 0.528
0.100 0.755 0.223
0.000 0.000 0.500
0.000 0.000 0.000
0.520 0.493 0.769
0.480 0.507 0.231



Entry 13:
K3Ag2HgCl8 PBE-GGA optimized geometry; symmetry = No. 164; energy = -2.760 eV per atom; ΔE_f (raw) = -1041 meV per atom; total magnetic moment = 0.00 Bohr magnetons per cell; N(E_F) = 7.4 states/eV per cell; theoretical density = 3.1 g/cm3
1.0
-6.724 2.389 1.617
0.874 -5.687 -4.520
-0.325 -5.874 7.328
K Cl Ag Hg
3 8 2 1
Direct
0.000 0.000 0.000
0.333 0.667 0.601
0.667 0.333 0.399
0.166 0.834 0.329
0.667 0.333 0.080
0.834 0.668 0.671
0.668 0.834 0.329
0.333 0.667 0.920
0.332 0.166 0.671
0.166 0.332 0.329
0.834 0.166 0.671
0.667 0.333 0.826
0.333 0.667 0.174
0.000 0.000 0.500



Entry 14:
KAg4Hg3Cl12 PBE-GGA optimized geometry; symmetry = No. 155; energy = -2.371 eV per atom; ΔE_f (raw) = -593 meV per atom; total magnetic moment = 0.00 Bohr magnetons per cell; N(E_F) = 12.4 states/eV per cell; theoretical density = 4.1 g/cm3
1.0
-7.112 -4.256 -3.518
4.344 -5.953 5.173
-3.196 6.404 5.463
Cl Ag Hg K
12 4 3 1
Direct
0.746 0.015 0.659
0.330 0.670 0.500
0.917 0.500 0.083
0.015 0.659 0.746
0.985 0.254 0.341
0.083 0.917 0.500
0.500 0.330 0.670
0.670 0.500 0.330
0.659 0.746 0.015
0.341 0.985 0.254
0.500 0.083 0.917
0.254 0.341 0.985
0.900 0.100 0.500
0.500 0.500 0.500
0.100 0.500 0.900
0.500 0.900 0.100
0.577 0.423 0.000
0.423 0.000 0.577
0.000 0.577 0.423
0.000 0.000 0.000



Entry 15:
KAg2HgCl4 PBE-GGA optimized geometry; symmetry = No. 121; energy = -2.527 eV per atom; ΔE_f (raw) = -716 meV per atom; total magnetic moment = 0.03 Bohr magnetons per cell; N(E_F) = 5.2 states/eV per cell; theoretical density = 3.7 g/cm3
1.0
-2.953 4.424 3.389
-5.521 -1.792 -2.469
3.426 -5.662 4.507
Cl Ag K Hg
4 2 1 1
Direct
0.589 0.589 0.705
0.116 0.116 0.705
0.884 0.411 0.295
0.411 0.884 0.295
0.750 0.250 0.500
0.250 0.750 0.500
0.000 0.000 0.000
0.500 0.500 0.000



Entry 16:
K3AgHg2Cl8 PBE-GGA optimized geometry; symmetry = No. 164; energy = -2.660 eV per atom; ΔE_f (raw) = -1123 meV per atom; total magnetic moment = 0.00 Bohr magnetons per cell; theoretical density = 3.3 g/cm3
1.0
7.521 0.000 0.000
-3.760 6.513 0.000
0.000 0.000 9.215
Cl K Hg Ag
8 3 2 1
Direct
0.333 0.667 0.913
0.838 0.162 0.683
0.675 0.838 0.317
0.325 0.162 0.683
0.162 0.325 0.317
0.838 0.675 0.683
0.162 0.838 0.317
0.667 0.333 0.087
0.667 0.333 0.415
0.000 0.000 0.000
0.333 0.667 0.585
0.333 0.667 0.176
0.667 0.333 0.824
0.000 0.000 0.500



Entry 17:
Li2AgHgCl6 PBE-GGA optimized geometry; symmetry = No. 15; energy = -2.765 eV per atom; ΔE_f (raw) = -959 meV per atom; total magnetic moment = 1.30 Bohr magnetons per cell; N(E_F) = 7.5 states/eV per cell; theoretical density = 3.6 g/cm3
1.0
6.610 -0.107 -0.111
1.885 8.656 0.281
1.885 -0.040 8.660
Cl Li Hg Ag
12 4 2 2
Direct
0.108 0.968 0.805
0.607 0.129 0.635
0.126 0.284 0.435
0.393 0.871 0.365
0.626 0.435 0.284
0.892 0.032 0.195
0.608 0.805 0.968
0.893 0.365 0.871
0.392 0.195 0.032
0.874 0.716 0.565
0.107 0.635 0.129
0.374 0.565 0.716
0.188 0.780 0.599
0.312 0.401 0.220
0.688 0.599 0.780
0.812 0.220 0.401
0.250 0.305 0.695
0.750 0.695 0.305
0.250 0.906 0.094
0.750 0.094 0.906



Entry 18:
Mg2AgHgCl PBE-GGA optimized geometry; symmetry = No. 123; energy = -1.751 eV per atom; ΔE_f (raw) = -113 meV per atom; total magnetic moment = 0.00 Bohr magnetons per cell; N(E_F) = 1.5 states/eV per cell; theoretical density = 4.5 g/cm3
1.0
5.239 0.000 0.000
0.000 5.312 0.000
0.000 0.000 5.239
Hg Mg Cl Ag
1 2 1 1
Direct
0.000 0.500 0.000
0.500 0.000 0.000
0.000 0.000 0.500
0.500 0.500 0.500
0.000 0.000 0.000



Entry 19:
MnAgHgCl5 PBE-GGA optimized geometry; symmetry = No. 15; energy = -3.382 eV per atom; ΔE_f (raw) = -687 meV per atom; total magnetic moment = 10.00 Bohr magnetons per cell; theoretical density = 3.9 g/cm3
1.0
7.129 0.786 -0.132
-1.329 7.048 -0.132
-2.564 -3.463 8.991
Cl Mn Ag Hg
10 2 2 2
Direct
0.290 0.369 0.562
0.879 0.121 0.750
0.710 0.631 0.438
0.071 0.673 0.853
0.327 0.929 0.647
0.121 0.879 0.250
0.929 0.327 0.147
0.673 0.071 0.353
0.631 0.710 0.938
0.369 0.290 0.062
0.675 0.325 0.250
0.325 0.675 0.750
0.642 0.358 0.750
0.358 0.642 0.250
0.000 0.000 0.500
0.000 0.000 0.000



Entry 20:
MnAg2HgCl6 PBE-GGA optimized geometry; symmetry = No. 1; energy = -3.269 eV per atom; ΔE_f (raw) = -644 meV per atom; total magnetic moment = 5.00 Bohr magnetons per cell; theoretical density = 4.4 g/cm3
1.0
6.933 -0.002 0.014
3.465 5.993 0.007
3.475 1.997 6.150
Cl Hg Ag Mn
6 1 2 1
Direct
0.627 0.215 0.248
0.461 0.736 0.730
0.215 0.912 0.249
0.735 0.073 0.730
0.913 0.626 0.247
0.073 0.460 0.729
0.243 0.243 0.274
0.502 0.502 0.494
0.070 0.071 0.785
0.823 0.823 0.530